A relaxed structure of In3WO. Source: Alexandria, functional PBE with a Hubbard U.

Summary:
The magnetization is 4.99 μB per formula unit. The density of states at the Fermi level comes out at 1.2 states/eV per cell. The excess energy over the best structure of this formula in the dataset is 696.3 meV/atom.

Cell: 5.507 5.507 5.507 Å, 90.00 90.00 90.00°
Space group Pm-3m (No. 221)
Asymmetric unit:
1 In 0.000 0.000 0.500 (multiplicity 3)
2 W 0.000 0.000 0.000 (multiplicity 1)
3 O 0.500 0.500 0.500 (multiplicity 1)

A relaxed structure of YIn2WO8. Source: Alexandria, functional PBE with a Hubbard U.

Summary:
The raw total energy comes out at -6.88 eV/atom. The magnetization is 0.88 μB per formula unit. The density of states at the Fermi level comes out at 10.7 states/eV per cell.

Cell: 6.932 7.027 6.699 Å, 90.00 90.00 90.00°
Space group Cmmm (No. 65)
Asymmetric unit:
1 Y 0.000 0.000 0.000 (multiplicity 2)
2 In 0.000 0.500 0.257 (multiplicity 4)
3 W 0.000 0.000 0.500 (multiplicity 2)
4 O 0.000 0.186 0.286 (multiplicity 8)
5 O 0.185 0.500 0.000 (multiplicity 4)
6 O 0.214 0.500 0.500 (multiplicity 4)